(A)
A plane-wave DFT calculation with PBEsol was carried out for a relaxed structure of TlCdRh.

```
TlCdRh
1.0
3.0932 0.0000 0.0000
0.0000 3.0932 0.0000
-1.5466 -1.5466 6.0034
Tl Cd Rh
1 1 1
direct
0.3130 0.3130 0.6260 Tl
0.0224 0.0224 0.0448 Cd
0.6646 0.6646 0.3293 Rh
```

Summary:
**SG**: I4mm, No. 107

(B)
A plane-wave DFT calculation with PBEsol was carried out for a relaxed structure of TlCdRh.

```
TlCdRh
1.0
3.1199 0.0000 0.0000
0.0000 4.5442 0.0000
0.0000 -2.2721 3.9354
Rh Cd Tl
1 1 1
direct
0.6063 0.3333 0.6667 Rh
0.9975 0.0000 0.0000 Cd
0.3963 0.6667 0.3333 Tl
```

Summary:
**SG**: P3m1, No. 156

Which structure wins on stability? (A) wins.

(A)
A plane-wave DFT calculation with PBEsol was carried out for a relaxed structure of CdRh2W.

```
CdRh2W
1.0
2.8303 0.0000 0.0000
0.0000 2.8303 0.0000
0.0000 0.0000 7.5821
Rh W Cd
2 1 1
direct
0.0000 0.0000 0.7686 Rh
0.0000 0.0000 0.2314 Rh
0.5000 0.5000 0.0000 W
0.5000 0.5000 0.5000 Cd
```

Summary:
**SG**: P4/mmm, No. 123

(B)
A plane-wave DFT calculation with PBEsol was carried out for a relaxed structure of CdRh2W.

```
CdRh2W
1.0
-0.0971 3.2950 -0.6872
-2.4823 0.3943 2.2409
3.7446 0.9410 3.9825
Rh Cd W
2 1 1
direct
0.5000 0.5000 0.2745 Rh
0.0000 0.0000 0.0066 Rh
0.5000 0.5000 0.7666 Cd
0.0000 0.0000 0.4524 W
```

Summary:
**SG**: P4mm, No. 99

Which structure wins on stability? (A) wins.

(A)
A plane-wave DFT calculation with PBEsol was carried out for a relaxed structure of CdRuSe.

```
CdRuSe
1.0
-0.7221 -3.2816 2.7094
3.1818 -2.7600 0.9434
1.7771 0.0179 3.9336
Ru Cd Se
1 1 1
direct
0.5000 0.5000 0.5000 Ru
0.0000 0.0000 0.0000 Cd
0.2500 0.2500 0.2500 Se
```

Summary:
**SG**: F-43m, No. 216

(B)
A plane-wave DFT calculation with PBEsol was carried out for a relaxed structure of CdRuSe.

```
CdRuSe
1.0
-1.5110 -2.8890 1.0839
3.1826 -2.2547 -1.5728
0.1701 1.3978 3.9627
Ru Cd Se
1 1 1
direct
0.0000 0.3333 0.6667 Ru
0.5000 0.0000 0.0000 Cd
0.0000 0.6667 0.3333 Se
```

Summary:
**SG**: P-6m2, No. 187

Which structure wins on stability? (B) wins.

(A)
A plane-wave DFT calculation with PBEsol was carried out for a relaxed structure of Cd2TcRu.

```
Cd2TcRu
1.0
-1.8073 2.2965 0.3625
-2.1539 -2.2348 3.4184
5.0101 1.8571 1.2527
Ru Tc Cd
1 1 2
direct
0.5000 0.0000 0.0000 Ru
0.0000 0.5000 0.0000 Tc
0.2458 0.2458 0.4916 Cd
0.7542 0.7542 0.5084 Cd
```

Summary:
**SG**: Immm, No. 71

(B)
A plane-wave DFT calculation with PBEsol was carried out for a relaxed structure of Cd2TcRu.

```
Cd2TcRu
1.0
-2.7180 1.7719 2.0828
-2.4325 -0.2251 -2.9828
-1.4136 -3.8665 1.4446
Tc Cd Ru
1 2 1
direct
0.0000 0.0000 0.5000 Tc
0.5000 0.0000 0.0000 Cd
0.0000 0.5000 0.0000 Cd
0.5000 0.5000 0.5000 Ru
```

Summary:
**SG**: P4/mmm, No. 123

Which structure wins on stability? (A) wins.

(A)
A plane-wave DFT calculation with PBEsol was carried out for a relaxed structure of CdTcRu.

```
CdTcRu
1.0
2.8200 0.0000 0.0000
0.0000 2.8200 0.0000
-1.4100 -1.4100 5.8363
Cd Ru Tc
1 1 1
direct
0.0013 0.0013 0.0025 Cd
0.6833 0.6833 0.3667 Ru
0.3154 0.3154 0.6308 Tc
```

Summary:
**SG**: I4mm, No. 107

(B)
A plane-wave DFT calculation with PBEsol was carried out for a relaxed structure of CdTcRu.

```
CdTcRu
1.0
2.8098 0.0000 0.0000
0.0000 4.3629 0.0000
0.0000 -2.1814 3.7784
Ru Cd Tc
1 1 1
direct
0.5610 0.6667 0.3333 Ru
0.9947 0.0000 0.0000 Cd
0.4443 0.3333 0.6667 Tc
```

Summary:
**SG**: P3m1, No. 156

Which structure wins on stability? (A) wins.